[1]
# BaNa2Hf, optimized geometry, DFT PBE
data_BaNa2Hf
_chemical_formula_sum 'Ba4 Na8 Hf4'
_cell_length_a 9.263
_cell_length_b 9.263
_cell_length_c 6.698
_cell_angle_alpha 90.00
_cell_angle_beta 90.00
_cell_angle_gamma 90.00
_symmetry_space_group_name_H-M 'I -4 2 d'
_symmetry_Int_Tables_number 122
_symmetry_space_group_name_Hall 'I -4 2bw'
loop_
_atom_site_label
_atom_site_fract_x
_atom_site_fract_y
_atom_site_fract_z
Ba1 0.000 0.000 0.000
Na1 0.230 0.750 0.625
Hf1 0.000 0.000 0.500
# Fermi-level density of states = 1.334 states/eV per atom
# Energy above the most stable polymorph in this dataset = 0.153 eV/atom
# Spin magnetization = 0.350 μB per atom
# ΔE_f = 935 meV per atom

=====

[2]
# Ba2NaHf2, optimized geometry, DFT PBE
data_Ba2NaHf2
_chemical_formula_sum 'Ba4 Na2 Hf4'
_cell_length_a 10.230
_cell_length_b 10.230
_cell_length_c 3.538
_cell_angle_alpha 90.00
_cell_angle_beta 90.00
_cell_angle_gamma 90.00
_symmetry_space_group_name_H-M 'P 4/m b m'
_symmetry_Int_Tables_number 127
_symmetry_space_group_name_Hall '-P 4 2ab'
loop_
_atom_site_label
_atom_site_fract_x
_atom_site_fract_y
_atom_site_fract_z
Ba1 0.196 0.304 0.000
Na1 0.000 0.000 0.500
Hf1 0.096 0.596 0.500
# Fermi-level density of states = 1.583 states/eV per atom
# Energy above the most stable polymorph in this dataset = 0.000 eV/atom
# Spin magnetization = 0.000 μB per atom
# ΔE_f = 744 meV per atom